[1]
6
Lattice="0.000 4.619 4.619 4.619 0.000 4.619 4.619 4.619 0.000" Properties=species:S:1:pos:R:3 comment="BaAgBr4 | Alexandria | PBE | optimized geometry" raw_formation_energy_kj_per_mol_fu=-211 m_tot_mub_per_fu=1.79 vol_a3_per_cell=197 pbc="T T T"
Ba 0.000 0.000 0.000
Ag 2.310 2.310 2.310
Br 5.768 3.470 3.470
Br 3.470 5.768 3.470
Br 3.470 3.470 5.768
Br 5.768 5.768 5.768

=====

[2]
4
Lattice="4.817 0.000 0.000 0.000 6.928 0.000 0.000 0.000 4.837" Properties=species:S:1:pos:R:3 comment="Ba2AgBr | Alexandria | PBE | optimized geometry" raw_formation_energy_kj_per_mol_fu=-339 m_tot_mub_per_fu=1.07 vol_a3_per_cell=161 pbc="T T T"
Ba 0.000 0.000 0.000
Ba 2.409 3.464 2.414
Ag 0.000 3.464 4.832
Br 2.409 0.000 2.419

=====

[3]
4
Lattice="4.619 0.000 0.000 0.000 4.619 0.000 0.000 0.000 6.316" Properties=species:S:1:pos:R:3 comment="BaAgBr2 | Alexandria | PBE | optimized geometry" raw_formation_energy_kj_per_mol_fu=-401 m_tot_mub_per_fu=0.00 vol_a3_per_cell=135 pbc="T T T"
Ba 0.000 0.000 0.000
Ag 2.310 2.310 4.030
Br 0.000 0.000 3.198
Br 2.310 2.310 0.994

=====

[4]
18
Lattice="6.986 0.000 0.000 0.000 8.856 0.000 -6.882 0.000 10.108" Properties=species:S:1:pos:R:3 comment="Ba2AgBr6 | Alexandria | PBE | optimized geometry" raw_formation_energy_kj_per_mol_fu=-1326 m_tot_mub_per_fu=0.95 vol_a3_per_cell=625 pbc="T T T"
Ba -0.332 1.061 2.648
Ba -3.772 3.367 7.703
Ba 3.877 5.489 2.406
Ba 0.436 7.795 7.460
Ag 3.493 0.000 0.000
Ag 0.052 4.428 5.054
Br -5.662 1.360 9.620
Br -2.221 3.068 4.566
Br -4.583 5.984 9.560
Br -1.142 7.300 4.506
Br -2.725 0.160 7.573
Br 0.716 4.268 2.519
Br -0.611 4.588 7.590
Br 2.830 8.696 2.535
Br 1.247 1.556 5.603
Br 4.688 2.872 0.548
Br 2.326 5.788 5.542
Br 5.767 7.496 0.488